The following is a DFT calculation (PBE) of a relaxed Mg2TcHg crystal.

Summary:
Formation enthalpy at 0 K in kJ/mol of formula units: 115

a = 2.9742 Å, b = 2.9742 Å, c = 8.7145 Å
α = 90.00°, β = 90.00°, γ = 90.00°
With the nearest neighbours (Å) after each atom.
Sites, in units of the cell vectors:
Mg: 0.0000 0.0000 0.9883  8 Mg 2.97-3.29, 4 Hg 3.04
Hg: 0.5000 0.5000 0.7357  4 Tc 2.96, 4 Hg 2.97, 4 Mg 3.04
Mg: 0.5000 0.5000 0.2787  4 Tc 2.84, 4 Mg 2.97
Tc: 0.0000 0.0000 0.4974  4 Mg 2.84, 4 Hg 2.96, 4 Tc 2.97